[1]
# LaSiOs2, PBEsol geometry, DFT meta-GGA SCAN
data_LaSiOs2
_chemical_formula_sum 'La1 Si1 Os2'
_space_group_name_H-M_alt 'P 1'
_space_group_IT_number 1
_cell_length_a 3.0004
_cell_length_b 3.0004
_cell_length_c 7.3664
_cell_angle_alpha 90.00
_cell_angle_beta 90.00
_cell_angle_gamma 90.00
loop_
_space_group_symop_operation_xyz
'x,y,z'
loop_
_atom_site_label
_atom_site_type_symbol
_atom_site_fract_x
_atom_site_fract_y
_atom_site_fract_z
La1 La 0.0000 0.0000 0.0000
Si1 Si 0.0000 0.0000 0.5000
Os1 Os 0.5000 0.5000 0.3146
Os2 Os 0.5000 0.5000 0.6854
# Energy (eV per atom): -49.22
# Symmetry: P4/mmm
# DOS at the Fermi energy (states/eV/cell): 3.7
# Calculated volume (A^3/atom): 16.6
# Formation energy from raw total energies (kcal/mol of atoms): 0.034

=====

[2]
# SrZnAs3, PBEsol geometry, DFT meta-GGA SCAN
data_SrZnAs3
_chemical_formula_sum 'Sr1 Zn1 As3'
_space_group_name_H-M_alt 'P 1'
_space_group_IT_number 1
_cell_length_a 5.4998
_cell_length_b 5.4998
_cell_length_c 5.4998
_cell_angle_alpha 90.00
_cell_angle_beta 90.00
_cell_angle_gamma 90.00
loop_
_space_group_symop_operation_xyz
'x,y,z'
loop_
_atom_site_label
_atom_site_type_symbol
_atom_site_fract_x
_atom_site_fract_y
_atom_site_fract_z
Sr1 Sr 0.0000 0.0000 0.0000
Zn1 Zn 0.5000 0.5000 0.5000
As1 As 0.0000 0.0000 0.5000
As2 As 0.0000 0.5000 0.0000
As3 As 0.5000 0.0000 0.0000
# Energy (eV per atom): -18.06
# Symmetry: Pm-3m
# DOS at the Fermi energy (states/eV/cell): 3.1
# Calculated volume (A^3/atom): 33.3

=====

[3]
# SrTlCd2, PBEsol geometry, DFT meta-GGA SCAN
data_SrTlCd2
_chemical_formula_sum 'Sr1 Tl1 Cd2'
_space_group_name_H-M_alt 'P 1'
_space_group_IT_number 1
_cell_length_a 3.6501
_cell_length_b 5.1217
_cell_length_c 5.9455
_cell_angle_alpha 90.00
_cell_angle_beta 90.10
_cell_angle_gamma 90.00
loop_
_space_group_symop_operation_xyz
'x,y,z'
loop_
_atom_site_label
_atom_site_type_symbol
_atom_site_fract_x
_atom_site_fract_y
_atom_site_fract_z
Sr1 Sr 0.0000 0.0000 0.0000
Tl1 Tl 0.5000 0.0000 0.5000
Cd1 Cd 0.4986 0.5000 0.7545
Cd2 Cd 0.5014 0.5000 0.2455
# Energy (eV per atom): -39.14
# Symmetry: P2/m
# DOS at the Fermi energy (states/eV/cell): 1.5
# Calculated volume (A^3/atom): 27.8